Below is a relaxed structure of Pm12Nd2Dy, with properties calculated at the PBE-GGA level.

Values from the calculation:
calculated volume	36.5	A^3/atom
crystal system	tetragonal
ΔE_f	0.310	eV/atom

abc: 6.564 6.564 25.433
angles: 90.00 90.00 90.00
Sites, in units of the cell vectors:
Pm (0.065, 0.565, 0.114)
Pm (0.065, 0.935, 0.886)
Pm (0.083, 0.583, 0.562)
Pm (0.083, 0.917, 0.438)
Pm (0.250, 0.250, 0.215)
Pm (0.250, 0.250, 0.338)
Pm (0.250, 0.250, 0.662)
Pm (0.250, 0.250, 0.785)
Pm (0.417, 0.583, 0.438)
Pm (0.417, 0.917, 0.562)
Pm (0.435, 0.565, 0.886)
Pm (0.435, 0.935, 0.114)
Pm (0.565, 0.065, 0.886)
Pm (0.565, 0.435, 0.114)
Pm (0.583, 0.083, 0.438)
Pm (0.583, 0.417, 0.562)
Pm (0.750, 0.750, 0.215)
Pm (0.750, 0.750, 0.338)
Pm (0.750, 0.750, 0.662)
Pm (0.750, 0.750, 0.785)
Pm (0.917, 0.083, 0.562)
Pm (0.917, 0.417, 0.438)
Pm (0.935, 0.065, 0.114)
Pm (0.935, 0.435, 0.886)
Nd (0.250, 0.750, 0.268)
Nd (0.250, 0.750, 0.732)
Nd (0.750, 0.250, 0.268)
Nd (0.750, 0.250, 0.732)
Dy (0.250, 0.750, 0.000)
Dy (0.750, 0.250, 0.000)